DFT (PBE-GGA) results for crystalline Ac3Cd4Sn4 at its relaxed geometry.

Lattice parameters (Å, degrees): 5.0113 7.7844 9.5300 114.11 105.24 90.00
With the nearest neighbours (Å) after each atom.
Element x y z (fractional)
Ac 0.1257 0.1257 0.2514  6 Cd 3.52-3.76, 6 Sn 3.59-3.68
Ac 0.8743 0.8743 0.7486  6 Cd 3.52-3.76, 6 Sn 3.59-3.68
Ac 0.0000 0.5000 0.0000  6 Sn 3.46-3.54
Cd 0.3321 0.1369 0.6642  4 Sn 2.93-3.10, 1 Cd 3.04
Cd 0.6679 0.4727 0.3358  4 Sn 2.93-3.10, 1 Cd 3.04
Cd 0.6679 0.8631 0.3358  4 Sn 2.93-3.10, 1 Cd 3.04
Cd 0.3321 0.5273 0.6642  4 Sn 2.93-3.10, 1 Cd 3.04
Sn 0.2125 0.7125 0.4250  6 Cd 3.02-3.10
Sn 0.7875 0.2875 0.5750  6 Cd 3.02-3.10
Sn 0.5000 0.8073 0.0000  2 Cd 2.93, 1 Sn 3.00
Sn 0.5000 0.1927 0.0000  2 Cd 2.93, 1 Sn 3.00

Properties
- Energy above the most stable polymorph in this dataset: 0.0000 eV per atom

***

DFT (PBE-GGA) results for crystalline Pm4TmAu5 at its relaxed geometry.

Lattice parameters (Å, degrees): 3.6357 3.6357 18.6124 90.00 90.00 90.00
With the nearest neighbours (Å) after each atom.
Element x y z (fractional)
Pm 0.0000 0.0000 0.1958  8 Au 3.19-3.24
Pm 0.0000 0.0000 0.3988  8 Au 3.19
Pm 0.0000 0.0000 0.6012  8 Au 3.19
Pm 0.0000 0.0000 0.8042  8 Au 3.19-3.24
Tm 0.0000 0.0000 0.0000  8 Au 3.07
Au 0.5000 0.5000 0.0902  4 Tm 3.07, 4 Pm 3.24, 1 Au 3.36
Au 0.5000 0.5000 0.2974  8 Pm 3.19
Au 0.5000 0.5000 0.5000  8 Pm 3.19
Au 0.5000 0.5000 0.7026  8 Pm 3.19
Au 0.5000 0.5000 0.9098  4 Tm 3.07, 4 Pm 3.24, 1 Au 3.36

***

Calculated energy of formation from the pure elements (kJ per mole of atoms), listed in the same order as above: -44.5 -77.8